! K2CeZn3F12 | the Alexandria database | PBE | optimized geometry; values from VASP
&SYSTEM
  ibrav = 0, nat = 18, ntyp = 4
/
ATOMIC_SPECIES
F 19.00 F.upf
Zn 65.41 Zn.upf
Ce 140.12 Ce.upf
K 39.10 K.upf
ATOMIC_POSITIONS crystal
F 0.626 0.123 0.123
F 0.725 0.725 0.112
F 0.877 0.374 0.877
F 0.123 0.123 0.626
F 0.725 0.112 0.725
F 0.374 0.877 0.877
F 0.112 0.725 0.725
F 0.123 0.626 0.123
F 0.275 0.888 0.275
F 0.877 0.877 0.374
F 0.888 0.275 0.275
F 0.275 0.275 0.888
Zn 0.500 0.000 0.000
Zn 0.000 0.500 0.000
Zn 0.000 0.000 0.500
Ce 0.000 0.000 0.000
K 0.388 0.388 0.388
K 0.612 0.612 0.612
CELL_PARAMETERS angstrom
-1.774 -2.761 6.408
3.752 -5.704 2.285
4.609 1.047 5.430
! Magnetization   0.11 Bohr magnetons per cell
! Electronic total energy   -4.6956 eV/atom
! Energy relative to the elements, uncorrected   -2784 meV per atom
! Density   3.8 g/cm3